(1)
# TmLuSn2Os | OQMD | PBE | optimized geometry
data_TmLuSn2Os
_chemical_formula_sum 'Tm4 Lu4 Sn8 Os4'
_cell_length_a 10.7645
_cell_length_b 4.4056
_cell_length_c 10.9117
_cell_angle_alpha 90.00
_cell_angle_beta 114.86
_cell_angle_gamma 90.00
_symmetry_space_group_name_H-M 'C 1 2/m 1'
_symmetry_Int_Tables_number 12
loop_
_symmetry_equiv_pos_as_xyz
'x,y,z'
'-x,-y,-z'
'-x,y,-z'
'x,-y,z'
'x+1/2,y+1/2,z'
'-x+1/2,-y+1/2,-z'
'-x+1/2,y+1/2,-z'
'x+1/2,-y+1/2,z'
loop_
_atom_site_label
_atom_site_type_symbol
_atom_site_fract_x
_atom_site_fract_y
_atom_site_fract_z
Tm1 Tm 0.1849 0.0000 0.1312
Lu1 Lu 0.0049 0.0000 0.6718
Sn1 Sn 0.0355 0.5000 0.8856
Sn2 Sn 0.1556 0.5000 0.5480
Os1 Os 0.2190 0.5000 0.3236
# * V: 469.5 Å³/cell
# * raw total energy: -6.121 eV/atom
# * crystal system: monoclinic

(2)
# HoMgTe | OQMD | PBE | optimized geometry
data_HoMgTe
_chemical_formula_sum 'Ho4 Mg4 Te4'
_cell_length_a 7.2659
_cell_length_b 7.2659
_cell_length_c 7.2659
_cell_angle_alpha 90.00
_cell_angle_beta 90.00
_cell_angle_gamma 90.00
_symmetry_space_group_name_H-M 'F -4 3 m'
_symmetry_Int_Tables_number 216
_symmetry_space_group_name_Hall 'F -4 2 3'
loop_
_atom_site_label
_atom_site_type_symbol
_atom_site_fract_x
_atom_site_fract_y
_atom_site_fract_z
Ho1 Ho 0.0000 0.0000 0.0000
Mg1 Mg 0.2500 0.2500 0.7500
Te1 Te 0.2500 0.2500 0.2500
# * V: 383.6 Å³/cell
# * crystal system: cubic
# * excess energy over the best structure of this formula in the dataset: 0.032 eV per atom

(3)
# KDyB | OQMD | PBE | optimized geometry
data_KDyB
_chemical_formula_sum 'K4 Dy4 B4'
_cell_length_a 6.6911
_cell_length_b 6.6911
_cell_length_c 6.6911
_cell_angle_alpha 90.00
_cell_angle_beta 90.00
_cell_angle_gamma 90.00
_symmetry_space_group_name_H-M 'F -4 3 m'
_symmetry_Int_Tables_number 216
_symmetry_space_group_name_Hall 'F -4 2 3'
loop_
_atom_site_label
_atom_site_type_symbol
_atom_site_fract_x
_atom_site_fract_y
_atom_site_fract_z
K1 K 0.0000 0.0000 0.0000
Dy1 Dy 0.0000 0.0000 0.5000
B1 B 0.2500 0.2500 0.7500
# * V: 299.6 Å³/cell
# * crystal system: cubic
# * excess energy over the best structure of this formula in the dataset: 0.000 eV per atom

(4)
# NaBiTeW | OQMD | PBE | optimized geometry
data_NaBiTeW
_chemical_formula_sum 'Na4 Bi4 Te4 W4'
_cell_length_a 7.2059
_cell_length_b 7.2059
_cell_length_c 7.2059
_cell_angle_alpha 90.00
_cell_angle_beta 90.00
_cell_angle_gamma 90.00
_symmetry_space_group_name_H-M 'F -4 3 m'
_symmetry_Int_Tables_number 216
_symmetry_space_group_name_Hall 'F -4 2 3'
loop_
_atom_site_label
_atom_site_type_symbol
_atom_site_fract_x
_atom_site_fract_y
_atom_site_fract_z
Na1 Na 0.0000 0.0000 0.0000
Bi1 Bi 0.2500 0.2500 0.2500
Te1 Te 0.0000 0.0000 0.5000
W1 W 0.2500 0.2500 0.7500
# * V: 374.2 Å³/cell
# * crystal system: cubic
# * excess energy over the best structure of this formula in the dataset: 0.550 eV per atom

(5)
# InMo4PC2 | OQMD | PBE | optimized geometry
data_InMo4PC2
_chemical_formula_sum 'In1 Mo4 P1 C2'
_cell_length_a 3.1941
_cell_length_b 3.1941
_cell_length_c 12.5983
_cell_angle_alpha 90.00
_cell_angle_beta 90.00
_cell_angle_gamma 120.00
_symmetry_space_group_name_H-M 'P -6 m 2'
_symmetry_Int_Tables_number 187
_symmetry_space_group_name_Hall 'P -6 2'
loop_
_atom_site_label
_atom_site_type_symbol
_atom_site_fract_x
_atom_site_fract_y
_atom_site_fract_z
In1 In 0.0000 0.0000 0.0000
Mo1 Mo 0.0000 0.0000 0.3653
Mo2 Mo 0.6667 0.3333 0.1904
P1 P 0.6667 0.3333 0.5000
C1 C 0.3333 0.6667 0.2674
# * V: 111.3 Å³/cell
# * raw total energy: -8.853 eV/atom
# * crystal system: hexagonal

(6)
# ScAsPtO | OQMD | PBE | optimized geometry
data_ScAsPtO
_chemical_formula_sum 'Sc2 As2 Pt2 O2'
_cell_length_a 5.3043
_cell_length_b 5.3043
_cell_length_c 4.6817
_cell_angle_alpha 90.00
_cell_angle_beta 90.00
_cell_angle_gamma 90.00
_symmetry_space_group_name_H-M 'P 4/n m m'
_symmetry_Int_Tables_number 129
loop_
_symmetry_equiv_pos_as_xyz
'x,y,z'
'-x,-y,-z'
'-y+1/2,x,z'
'y+1/2,-x,-z'
'-x+1/2,-y+1/2,z'
'x+1/2,y+1/2,-z'
'y,-x+1/2,z'
'-y,x+1/2,-z'
'x+1/2,-y,-z'
'-x+1/2,y,z'
'-y,-x,-z'
'y,x,z'
'-x,y+1/2,-z'
'x,-y+1/2,z'
'y+1/2,x+1/2,-z'
'-y+1/2,-x+1/2,z'
loop_
_atom_site_label
_atom_site_type_symbol
_atom_site_fract_x
_atom_site_fract_y
_atom_site_fract_z
Sc1 Sc 0.2500 0.7500 0.0000
As1 As 0.2500 0.2500 0.0035
Pt1 Pt 0.2500 0.2500 0.5033
O1 O 0.2500 0.7500 0.5000
# * V: 131.7 Å³/cell
# * crystal system: tetragonal
# * excess energy over the best structure of this formula in the dataset: 0.916 eV per atom

(7)
# Dy2Si2MoWC | OQMD | PBE | optimized geometry
data_Dy2Si2MoWC
_chemical_formula_sum 'Dy4 Si4 Mo2 W2 C2'
_cell_length_a 11.1074
_cell_length_b 3.8259
_cell_length_c 7.1318
_cell_angle_alpha 90.00
_cell_angle_beta 125.41
_cell_angle_gamma 90.00
_symmetry_space_group_name_H-M 'C 1 m 1'
_symmetry_Int_Tables_number 8
loop_
_symmetry_equiv_pos_as_xyz
'x,y,z'
'x,-y,z'
'x+1/2,y+1/2,z'
'x+1/2,-y+1/2,z'
loop_
_atom_site_label
_atom_site_type_symbol
_atom_site_fract_x
_atom_site_fract_y
_atom_site_fract_z
Dy1 Dy 0.0000 0.0000 0.0000
Dy2 Dy 0.1489 0.0000 0.5916
Si1 Si 0.2062 0.5000 0.9576
Si2 Si 0.4429 0.0000 0.6335
Mo1 Mo 0.2811 0.5000 0.3803
W1 W 0.3673 0.0000 0.2122
C1 C 0.0733 0.5000 0.2956
# * V: 247.0 Å³/cell
# * raw total energy: -8.155 eV/atom
# * crystal system: monoclinic

(8)
# Li4Mg2SnPt | OQMD | PBE | optimized geometry
data_Li4Mg2SnPt
_chemical_formula_sum 'Li4 Mg2 Sn1 Pt1'
_cell_length_a 4.5684
_cell_length_b 4.5684
_cell_length_c 6.5340
_cell_angle_alpha 90.00
_cell_angle_beta 90.00
_cell_angle_gamma 90.00
_symmetry_space_group_name_H-M 'P -4 m 2'
_symmetry_Int_Tables_number 115
loop_
_symmetry_equiv_pos_as_xyz
'x,y,z'
'y,-x,-z'
'-x,-y,z'
'-y,x,-z'
'-x,y,z'
'-y,-x,-z'
'x,-y,z'
'y,x,-z'
loop_
_atom_site_label
_atom_site_type_symbol
_atom_site_fract_x
_atom_site_fract_y
_atom_site_fract_z
Li1 Li 0.0000 0.0000 0.0000
Li2 Li 0.0000 0.5000 0.2376
Li3 Li 0.5000 0.5000 0.5000
Mg1 Mg 0.0000 0.5000 0.7792
Sn1 Sn 0.0000 0.0000 0.5000
Pt1 Pt 0.5000 0.5000 0.0000
# * V: 136.4 Å³/cell
# * raw total energy: -3.024 eV/atom
# * crystal system: tetragonal

(9)
# Pr3Nd2HoTe2Pd | OQMD | PBE | optimized geometry
data_Pr3Nd2HoTe2Pd
_chemical_formula_sum 'Pr6 Nd4 Ho2 Te4 Pd2'
_cell_length_a 4.0554
_cell_length_b 15.0079
_cell_length_c 8.7073
_cell_angle_alpha 90.00
_cell_angle_beta 90.00
_cell_angle_gamma 90.00
_symmetry_space_group_name_H-M 'A m m 2'
_symmetry_Int_Tables_number 38
loop_
_symmetry_equiv_pos_as_xyz
'x,y,z'
'-x,-y,z'
'-x,y,z'
'x,-y,z'
'x,y+1/2,z+1/2'
'-x,-y+1/2,z+1/2'
'-x,y+1/2,z+1/2'
'x,-y+1/2,z+1/2'
loop_
_atom_site_label
_atom_site_type_symbol
_atom_site_fract_x
_atom_site_fract_y
_atom_site_fract_z
Pr1 Pr 0.0000 0.0000 0.0000
Pr2 Pr 0.0000 0.2050 0.6154
Nd1 Nd 0.5000 0.1232 0.2881
Ho1 Ho 0.5000 0.0000 0.6548
Te1 Te 0.5000 0.1647 0.9087
Pd1 Pd 0.0000 0.0000 0.4241
# * V: 529.9 Å³/cell
# * raw total energy: -5.275 eV/atom
# * crystal system: orthorhombic

(10)
# TmCdInO3 | OQMD | PBE | optimized geometry
data_TmCdInO3
_chemical_formula_sum 'Tm4 Cd4 In4 O12'
_cell_length_a 3.1846
_cell_length_b 17.4963
_cell_length_c 6.9007
_cell_angle_alpha 90.00
_cell_angle_beta 90.00
_cell_angle_gamma 90.00
_symmetry_space_group_name_H-M 'C m c m'
_symmetry_Int_Tables_number 63
_symmetry_space_group_name_Hall '-C 2c 2'
loop_
_atom_site_label
_atom_site_type_symbol
_atom_site_fract_x
_atom_site_fract_y
_atom_site_fract_z
Tm1 Tm 0.0000 0.0000 0.0000
Cd1 Cd 0.0000 0.3750 0.2500
In1 In 0.0000 0.3222 0.7500
O1 O 0.0000 0.1179 0.0509
O2 O 0.0000 0.2559 0.2500
# * V: 384.5 Å³/cell
# * raw total energy: -5.139 eV/atom
# * crystal system: orthorhombic

(11)
# Sb7Pd20 | OQMD | PBE | optimized geometry
data_Sb7Pd20
_chemical_formula_sum 'Sb21 Pd60'
_cell_length_a 11.8538
_cell_length_b 11.8538
_cell_length_c 11.1347
_cell_angle_alpha 90.00
_cell_angle_beta 90.00
_cell_angle_gamma 120.00
_symmetry_space_group_name_H-M 'R -3'
_symmetry_Int_Tables_number 148
_symmetry_space_group_name_Hall '-R 3'
loop_
_atom_site_label
_atom_site_type_symbol
_atom_site_fract_x
_atom_site_fract_y
_atom_site_fract_z
Sb1 Sb 0.0000 0.0000 0.0000
Sb2 Sb 0.0387 0.8081 0.6848
Pd1 Pd 0.0000 0.0000 0.3775
Pd2 Pd 0.0288 0.7867 0.4481
Pd3 Pd 0.0361 0.8494 0.1880
Pd4 Pd 0.0483 0.7959 0.9397
# * V: 1354.9 Å³/cell
# * raw total energy: -5.346 eV/atom
# * crystal system: trigonal

(12)
# NdGd2In3AgPd2 | OQMD | PBE | optimized geometry
data_NdGd2In3AgPd2
_chemical_formula_sum 'Nd2 Gd4 In6 Ag2 Pd4'
_cell_length_a 3.8706
_cell_length_b 13.6488
_cell_length_c 7.8617
_cell_angle_alpha 90.00
_cell_angle_beta 90.00
_cell_angle_gamma 90.00
_symmetry_space_group_name_H-M 'A m m 2'
_symmetry_Int_Tables_number 38
loop_
_symmetry_equiv_pos_as_xyz
'x,y,z'
'-x,-y,z'
'-x,y,z'
'x,-y,z'
'x,y+1/2,z+1/2'
'-x,-y+1/2,z+1/2'
'-x,y+1/2,z+1/2'
'x,-y+1/2,z+1/2'
loop_
_atom_site_label
_atom_site_type_symbol
_atom_site_fract_x
_atom_site_fract_y
_atom_site_fract_z
Nd1 Nd 0.0000 0.0000 0.0000
Gd1 Gd 0.0000 0.2048 0.3857
In1 In 0.5000 0.0000 0.3265
In2 In 0.5000 0.1344 0.7223
Ag1 Ag 0.0000 0.0000 0.5890
Pd1 Pd 0.5000 0.1687 0.0913
# * V: 415.3 Å³/cell
# * raw total energy: -4.624 eV/atom
# * crystal system: orthorhombic